VASP calculation (PBE) on a relaxed PdAuF3 crystal.

* uncorrected formation energy: -381 meV/atom
* calculated total energy: -3.197 eV per atom

Geometry as CIF:
```
data_PdAuF3
_space_group_name_H-M_alt 'P m -3 m'
_space_group_IT_number 221
_space_group_name_Hall '-P 4 2 3'
_cell_length_a 4.3798
_cell_length_b 4.3798
_cell_length_c 4.3798
_cell_angle_alpha 90.00
_cell_angle_beta 90.00
_cell_angle_gamma 90.00
loop_
_atom_site_label
_atom_site_fract_x
_atom_site_fract_y
_atom_site_fract_z
_atom_site_occupancy
Pd1 0.0000 0.0000 0.0000 1
Au1 0.5000 0.5000 0.5000 1
F1 0.0000 0.5000 0.5000 1
```



VASP calculation (PBE) on a relaxed BeTl2P crystal.

* calculated total energy: -3.229 eV per atom
* formation enthalpy at 0 K: 0.238 eV/atom

Geometry as CIF:
```
data_BeTl2P
_space_group_name_H-M_alt 'P m m 2'
_space_group_IT_number 25
_cell_length_a 3.2468
_cell_length_b 3.2675
_cell_length_c 8.3698
_cell_angle_alpha 90.00
_cell_angle_beta 90.00
_cell_angle_gamma 90.00
loop_
_space_group_symop_operation_xyz
'x,y,z'
'-x,-y,z'
'-x,y,z'
'x,-y,z'
loop_
_atom_site_label
_atom_site_fract_x
_atom_site_fract_y
_atom_site_fract_z
_atom_site_occupancy
Be1 0.0000 0.0000 0.0000 1
Tl1 0.0000 0.0000 0.3344 1
Tl2 0.5000 0.5000 0.6748 1
P1 0.5000 0.5000 0.0228 1
```



Among the records above, which one has the lowest calculated total energy? BeTl2P